(1)
# ThAs

A crystal of ThAs relaxed with PBEsol (SCAN, the Alexandria database). Values from VASP.

Properties
The formation energy from the elements is -1.44 eV per atom. The calculated total energy comes out at -2.1863 hartree per atom. Its crystal system is cubic.

```
&SYSTEM
  ibrav = 0, nat = 2, ntyp = 2
/
ATOMIC_SPECIES
As 74.92 As.upf
Th 232.04 Th.upf
ATOMIC_POSITIONS angstrom
As 0.0000 0.0000 0.0000
Th 4.2063 2.4285 1.7172
CELL_PARAMETERS angstrom
4.2063 0.0000 0.0000
2.1031 3.6427 0.0000
2.1031 1.2142 3.4344
```

---

(2)
# ThAs2

A crystal of ThAs2 relaxed with PBEsol (SCAN, the Alexandria database). Values from VASP.

Properties
The formation energy from the elements is -1.11 eV per atom. The calculated total energy comes out at -1.7106 hartree per atom. Its crystal system is tetragonal.

```
&SYSTEM
  ibrav = 0, nat = 6, ntyp = 2
/
ATOMIC_SPECIES
As 74.92 As.upf
Th 232.04 Th.upf
ATOMIC_POSITIONS angstrom
As 1.8612 0.2942 3.1277
As 0.0000 0.0000 0.0000
As -1.6318 0.8513 2.2214
As 1.8226 -3.1977 4.4376
Th 3.7639 -1.0499 5.0404
Th -0.0800 -1.8537 2.5248
CELL_PARAMETERS angstrom
-0.1010 3.2892 2.4117
-3.1626 -1.5865 2.0312
5.3157 -3.7549 5.3438
```

---

(3)
# Ti4As3

A crystal of Ti4As3 relaxed with PBEsol (SCAN, the Alexandria database). Values from VASP.

Properties
The formation energy from the elements is -0.98 eV per atom. The calculated total energy comes out at -0.6905 hartree per atom. Its crystal system is cubic.

```
&SYSTEM
  ibrav = 0, nat = 14, ntyp = 2
/
ATOMIC_SPECIES
Ti 47.87 Ti.upf
As 74.92 As.upf
ATOMIC_POSITIONS angstrom
Ti 1.8644 -0.6228 2.6850
Ti 0.7683 2.4775 2.6850
Ti 2.9606 4.1869 1.8819
Ti 4.2720 0.0000 0.0000
Ti -2.5202 1.0865 3.4881
Ti 0.9836 0.0000 0.0000
Ti -1.4240 2.6367 0.8031
Ti -0.3279 -0.4637 4.5669
As 2.7404 1.5502 1.3425
As 0.5481 4.2630 0.6713
As 3.8365 -1.5502 4.0275
As -1.6442 3.4879 3.3563
As 1.6442 1.1626 4.6988
As -0.5481 0.3875 2.0138
CELL_PARAMETERS angstrom
6.5769 0.0000 0.0000
-2.1923 6.2008 0.0000
-2.1923 -3.1004 5.3700
```

---

(4)
# TiTl2AsW

A crystal of TiTl2AsW relaxed with PBEsol (SCAN, the Alexandria database). Values from VASP.

Properties
The formation energy from the elements is 1.08 eV per atom. The calculated total energy comes out at -1.8026 hartree per atom. Its crystal system is tetragonal.

```
&SYSTEM
  ibrav = 0, nat = 5, ntyp = 4
/
ATOMIC_SPECIES
Tl 204.38 Tl.upf
Ti 47.87 Ti.upf
As 74.92 As.upf
W 183.84 W.upf
ATOMIC_POSITIONS angstrom
Tl 0.7627 -0.7666 2.4305
Tl 2.5430 0.3955 -0.6732
Ti -0.1452 2.1834 0.7342
As 3.1605 1.8123 2.4915
W 0.0000 0.0000 0.0000
CELL_PARAMETERS angstrom
-0.2904 4.3668 1.4684
1.5253 -1.5331 4.8611
5.0861 0.7910 -1.3465
```

---

(5)
# TiVAs2

A crystal of TiVAs2 relaxed with PBEsol (SCAN, the Alexandria database). Values from VASP.

Properties
The formation energy from the elements is -0.71 eV per atom. The calculated total energy comes out at -0.7049 hartree per atom. Its crystal system is trigonal.

```
&SYSTEM
  ibrav = 0, nat = 4, ntyp = 3
/
ATOMIC_SPECIES
Ti 47.87 Ti.upf
As 74.92 As.upf
V 50.94 V.upf
ATOMIC_POSITIONS angstrom
Ti 0.0000 0.0000 0.0000
As -0.7540 -1.2819 2.0874
As -3.0156 0.7480 4.1551
V -0.8593 1.0417 2.9583
CELL_PARAMETERS angstrom
-3.1779 0.2327 -1.0050
1.1268 -2.8500 1.3308
-1.7185 2.0834 5.9167
```

---

(6)
# Y3TiAs

A crystal of Y3TiAs relaxed with PBEsol (SCAN, the Alexandria database). Values from VASP.

Properties
The formation energy from the elements is 0.46 eV per atom. The calculated total energy comes out at -0.8631 hartree per atom. Its crystal system is cubic.

```
&SYSTEM
  ibrav = 0, nat = 5, ntyp = 3
/
ATOMIC_SPECIES
Ti 47.87 Ti.upf
Y 88.91 Y.upf
As 74.92 As.upf
ATOMIC_POSITIONS angstrom
Ti 0.0000 0.0000 0.0000
Y 0.0000 0.0000 2.5613
Y 0.0000 2.5613 0.0000
Y 2.5613 0.0000 0.0000
As 2.5613 2.5613 2.5613
CELL_PARAMETERS angstrom
5.1226 0.0000 0.0000
0.0000 5.1226 0.0000
0.0000 0.0000 5.1226
```

---

(7)
# Zr2TiAs2

A crystal of Zr2TiAs2 relaxed with PBEsol (SCAN, the Alexandria database). Values from VASP.

Properties
The formation energy from the elements is -1.08 eV per atom. The calculated total energy comes out at -0.9056 hartree per atom. Its crystal system is tetragonal.

```
&SYSTEM
  ibrav = 0, nat = 10, ntyp = 3
/
ATOMIC_SPECIES
Ti 47.87 Ti.upf
As 74.92 As.upf
Zr 91.22 Zr.upf
ATOMIC_POSITIONS angstrom
Ti 0.0000 0.0000 0.0000
Ti 0.6707 -3.1765 3.6735
As 3.2408 -3.5881 4.2389
As 1.3672 -1.4762 1.7452
As -0.0258 -4.8767 5.6018
As -1.8994 -2.7649 3.1081
Zr 1.8221 -3.2757 6.6488
Zr -0.5682 -0.2859 3.1278
Zr -1.6818 -2.6069 5.7542
Zr 2.9357 -0.9548 4.0224
CELL_PARAMETERS angstrom
-0.0875 2.7913 2.4295
-4.1843 -3.7035 4.1042
5.5257 -2.6494 3.2428
```

---

(8)
# Tl5As

A crystal of Tl5As relaxed with PBEsol (SCAN, the Alexandria database). Values from VASP.

Properties
The formation energy from the elements is 0.09 eV per atom. The calculated total energy comes out at -2.3364 hartree per atom. Its crystal system is orthorhombic.

```
&SYSTEM
  ibrav = 0, nat = 6, ntyp = 2
/
ATOMIC_SPECIES
As 74.92 As.upf
Tl 204.38 Tl.upf
ATOMIC_POSITIONS angstrom
As 0.0000 0.0000 0.0787
Tl 1.7079 0.0000 2.6788
Tl 0.0000 2.7369 7.7528
Tl 0.0000 2.7369 1.8556
Tl 1.7079 2.7369 4.7348
Tl 0.0000 0.0000 5.9415
CELL_PARAMETERS angstrom
3.4158 0.0000 0.0000
0.0000 5.4739 0.0000
-1.7079 0.0000 8.6408
```

---

Look up the calculated total energy of the sixth one.
-0.8631 hartree per atom

---

Copy entry 2 word for word.
# ThAs2

A crystal of ThAs2 relaxed with PBEsol (SCAN, the Alexandria database). Values from VASP.

Properties
The formation energy from the elements is -1.11 eV per atom. The calculated total energy comes out at -1.7106 hartree per atom. Its crystal system is tetragonal.

```
&SYSTEM
  ibrav = 0, nat = 6, ntyp = 2
/
ATOMIC_SPECIES
As 74.92 As.upf
Th 232.04 Th.upf
ATOMIC_POSITIONS angstrom
As 1.8612 0.2942 3.1277
As 0.0000 0.0000 0.0000
As -1.6318 0.8513 2.2214
As 1.8226 -3.1977 4.4376
Th 3.7639 -1.0499 5.0404
Th -0.0800 -1.8537 2.5248
CELL_PARAMETERS angstrom
-0.1010 3.2892 2.4117
-3.1626 -1.5865 2.0312
5.3157 -3.7549 5.3438
```

---

Look up the calculated total energy of the third one.
-0.6905 hartree per atom